# 1
Material: Sr8Zn2Hg
Method: DFT, PBE
State: relaxed

Cell: 8.8512 8.8512 6.8663 Å, 100.12 100.12 111.29°
With the nearest neighbours (Å) after each atom.
Fractional coordinates of all 11 atoms:
Sr (0.0000, 0.0000, 0.0000)  2 Zn 3.48, 1 Hg 3.61
Sr (0.0245, 0.2878, 0.5961)  2 Zn 3.28-3.31, 1 Hg 3.49
Sr (0.1472, 0.5819, 0.1932)  1 Hg 3.43, 2 Zn 3.69-3.72
Sr (0.2878, 0.0245, 0.5961)  2 Zn 3.28-3.31, 1 Hg 3.49
Sr (0.4366, 0.7018, 0.7957)  2 Zn 3.30-3.31, 1 Hg 3.45
Sr (0.5819, 0.1472, 0.1932)  1 Hg 3.43, 2 Zn 3.69-3.72
Sr (0.7018, 0.4366, 0.7957)  2 Zn 3.30-3.31, 1 Hg 3.45
Sr (0.7246, 0.7246, 0.3761)  2 Zn 3.48, 1 Hg 3.73
Zn (0.0475, 0.6732, 0.6886)  6 Sr 3.28-3.48
Zn (0.6732, 0.0475, 0.6886)  6 Sr 3.28-3.48
Hg (0.3618, 0.3618, 0.0037)  8 Sr 3.43-3.73

## Properties
For the formation enthalpy at 0 K, the calculation gives -0.1119 eV/atom. For the energy above the most stable polymorph in this dataset, the calculation gives 0.023 eV per atom. As for the space group: No. 8.

***

# 2
Material: Sr2ZnHg
Method: DFT, PBE
State: relaxed

Cell: 6.3704 6.3704 5.5715 Å, 108.98 108.98 35.93°
With the nearest neighbours (Å) after each atom.
Fractional coordinates of all 4 atoms:
Sr (0.0000, 0.0000, 0.0000)  4 Hg 3.43-3.52, 3 Zn 3.47-3.52, 2 Sr 3.62-3.65
Sr (0.2046, 0.2046, 0.6487)  4 Zn 3.43-3.49, 3 Hg 3.44-3.57, 2 Sr 3.62-3.65
Zn (0.7564, 0.7564, 0.1932)  2 Hg 2.96
Hg (0.4428, 0.4428, 0.4473)  2 Zn 2.96

## Properties
For the formation enthalpy at 0 K, the calculation gives -0.2678 eV/atom. For the energy above the most stable polymorph in this dataset, the calculation gives 0.088 eV per atom. As for the space group: No. 8.

***

# 3
Material: SrZn4Hg
Method: DFT, PBE
State: relaxed

Cell: 5.6091 5.6091 5.6091 Å, 60.00 60.00 60.00°
With the nearest neighbours (Å) after each atom.
Fractional coordinates of all 6 atoms:
Sr (0.0000, 0.0000, 0.0000)  12 Zn 3.29, 4 Hg 3.43
Zn (0.1277, 0.6241, 0.6241)  6 Zn 2.78-2.83
Zn (0.6241, 0.1277, 0.6241)  6 Zn 2.78-2.83
Zn (0.6241, 0.6241, 0.1277)  6 Zn 2.78-2.83
Zn (0.6241, 0.6241, 0.6241)  6 Zn 2.78-2.83
Hg (0.2500, 0.2500, 0.2500)  12 Zn 3.29, 4 Sr 3.43

## Properties
For the formation enthalpy at 0 K, the calculation gives -0.1096 eV/atom. As for the space group: No. 216.

***

# 4
Material: Sr2ZnHg
Method: DFT, PBE
State: relaxed

Cell: 8.8403 8.8403 8.8403 Å, 29.11 29.11 29.11°
With the nearest neighbours (Å) after each atom.
Fractional coordinates of all 4 atoms:
Sr (0.0000, 0.0000, 0.0000)  3 Zn 3.27, 3 Hg 3.38
Sr (0.1737, 0.1737, 0.1737)  3 Zn 3.27, 3 Hg 3.39
Zn (0.5870, 0.5870, 0.5870)  6 Sr 3.27
Hg (0.7532, 0.7532, 0.7532)  6 Sr 3.38-3.39

## Properties
For the formation enthalpy at 0 K, the calculation gives -0.2233 eV/atom. For the energy above the most stable polymorph in this dataset, the calculation gives 0.133 eV per atom. As for the space group: No. 160.

***

# 5
Material: Sr3Zn2Hg3
Method: DFT, PBE
State: relaxed

Cell: 6.3747 6.3747 16.5811 Å, 90.00 90.00 136.54°
With the nearest neighbours (Å) after each atom.
Fractional coordinates of all 16 atoms:
Sr (0.0966, 0.9034, 0.6009)  4 Zn 3.36-3.63, 7 Hg 3.41-3.56
Sr (0.0966, 0.9034, 0.8991)  4 Zn 3.36-3.63, 7 Hg 3.41-3.56
Sr (0.3784, 0.6216, 0.7500)  5 Hg 3.37-3.45, 4 Zn 3.51
Sr (0.6216, 0.3784, 0.2500)  5 Hg 3.37-3.45, 4 Zn 3.51
Sr (0.9034, 0.0966, 0.1009)  4 Zn 3.36-3.63, 7 Hg 3.41-3.56
Sr (0.9034, 0.0966, 0.3991)  4 Zn 3.36-3.63, 7 Hg 3.41-3.56
Zn (0.2020, 0.7980, 0.1047)  3 Hg 2.75-2.87
Zn (0.2020, 0.7980, 0.3953)  3 Hg 2.75-2.87
Zn (0.7980, 0.2020, 0.6047)  3 Hg 2.75-2.87
Zn (0.7980, 0.2020, 0.8953)  3 Hg 2.75-2.87
Hg (0.3338, 0.6662, 0.2500)  2 Zn 2.87
Hg (0.3849, 0.6151, 0.5470)  2 Zn 2.75
Hg (0.3849, 0.6151, 0.9530)  2 Zn 2.75
Hg (0.6151, 0.3849, 0.0470)  2 Zn 2.75
Hg (0.6151, 0.3849, 0.4530)  2 Zn 2.75
Hg (0.6662, 0.3338, 0.7500)  2 Zn 2.87

## Properties
For the formation enthalpy at 0 K, the calculation gives -0.4056 eV/atom. As for the space group: No. 63.

***

# 6
Material: Sr2Zn2Hg
Method: DFT, PBE
State: relaxed

Cell: 9.0175 9.0175 4.0230 Å, 90.00 90.00 90.00°
With the nearest neighbours (Å) after each atom.
Fractional coordinates of all 10 atoms:
Sr (0.1836, 0.3164, 0.0000)  2 Hg 3.30, 6 Zn 3.35-3.40
Sr (0.3164, 0.8164, 0.0000)  2 Hg 3.30, 6 Zn 3.35-3.40
Sr (0.6836, 0.1836, 0.0000)  2 Hg 3.30, 6 Zn 3.35-3.40
Sr (0.8164, 0.6836, 0.0000)  2 Hg 3.30, 6 Zn 3.35-3.40
Zn (0.1017, 0.6017, 0.5000)  1 Zn 2.59
Zn (0.3983, 0.1017, 0.5000)  1 Zn 2.59
Zn (0.6017, 0.8983, 0.5000)  1 Zn 2.59
Zn (0.8983, 0.3983, 0.5000)  1 Zn 2.59
Hg (0.0000, 0.0000, 0.0000)  4 Sr 3.30
Hg (0.5000, 0.5000, 0.0000)  4 Sr 3.30

## Properties
For the formation enthalpy at 0 K, the calculation gives -0.1115 eV/atom. For the energy above the most stable polymorph in this dataset, the calculation gives 0.194 eV per atom. As for the space group: No. 127.

***

# 7
Material: SrZnHg
Method: DFT, PBE
State: relaxed

Cell: 5.9187 5.9187 5.9187 Å, 141.24 141.24 55.98°
With the nearest neighbours (Å) after each atom.
Fractional coordinates of all 3 atoms:
Sr (0.0000, 0.0000, 0.0000)  5 Hg 3.28-3.39, 5 Zn 3.32-3.37
Zn (0.6821, 0.6821, 0.0000)  4 Hg 3.10, 5 Sr 3.32-3.37
Hg (0.3142, 0.3142, 0.0000)  4 Zn 3.10, 5 Sr 3.28-3.39

## Properties
For the formation enthalpy at 0 K, the calculation gives -0.2762 eV/atom. As for the space group: No. 107.

***

# 8
Material: Sr3Zn3Hg2
Method: DFT, PBE
State: relaxed

Cell: 6.2864 6.2864 16.2244 Å, 90.00 90.00 134.82°
With the nearest neighbours (Å) after each atom.
Fractional coordinates of all 16 atoms:
Sr (0.1075, 0.8925, 0.7500)  5 Zn 3.34-3.45, 4 Hg 3.48
Sr (0.3880, 0.6120, 0.5997)  7 Zn 3.37-3.54, 4 Hg 3.38-3.44
Sr (0.3880, 0.6120, 0.9003)  7 Zn 3.37-3.54, 4 Hg 3.38-3.44
Sr (0.6120, 0.3880, 0.0997)  7 Zn 3.37-3.54, 4 Hg 3.38-3.44
Sr (0.6120, 0.3880, 0.4003)  7 Zn 3.37-3.54, 4 Hg 3.38-3.44
Sr (0.8925, 0.1075, 0.2500)  5 Zn 3.34-3.45, 4 Hg 3.48
Zn (0.0932, 0.9068, 0.5443)  1 Zn 2.60, 2 Hg 2.82
Zn (0.0932, 0.9068, 0.9557)  1 Zn 2.60, 2 Hg 2.82
Zn (0.1800, 0.8200, 0.2500)  2 Hg 2.82
Zn (0.8200, 0.1800, 0.7500)  2 Hg 2.82
Zn (0.9068, 0.0932, 0.0443)  1 Zn 2.60, 2 Hg 2.82
Zn (0.9068, 0.0932, 0.4557)  1 Zn 2.60, 2 Hg 2.82
Hg (0.3154, 0.6846, 0.1056)  3 Zn 2.82
Hg (0.3154, 0.6846, 0.3944)  3 Zn 2.82
Hg (0.6846, 0.3154, 0.6056)  3 Zn 2.82
Hg (0.6846, 0.3154, 0.8944)  3 Zn 2.82

## Properties
For the formation enthalpy at 0 K, the calculation gives -0.3314 eV/atom. As for the space group: No. 63.

***

# 9
Material: Sr2Zn2Hg
Method: DFT, PBE
State: relaxed

Cell: 5.9307 5.9307 5.9307 Å, 116.91 116.91 95.44°
With the nearest neighbours (Å) after each atom.
Fractional coordinates of all 5 atoms:
Sr (0.2500, 0.7500, 0.5000)  4 Zn 3.21
Sr (0.7500, 0.2500, 0.5000)  4 Zn 3.21
Zn (0.1490, 0.1490, 0.0000)  1 Zn 2.38
Zn (0.8510, 0.8510, 0.0000)  1 Zn 2.38
Hg (0.5000, 0.5000, 0.0000)  2 Zn 2.80

## Properties
For the formation enthalpy at 0 K, the calculation gives -0.1539 eV/atom. For the energy above the most stable polymorph in this dataset, the calculation gives 0.152 eV per atom. As for the space group: No. 139.

***

# 10
Material: SrZr2ZnHg
Method: DFT, PBE
State: relaxed

Cell: 5.3086 5.3086 5.2057 Å, 90.00 90.00 90.00°
With the nearest neighbours (Å) after each atom.
Fractional coordinates of all 5 atoms:
Sr (0.0000, 0.0000, 0.0000)  2 Zn 2.60, 4 Zr 2.65
Zr (0.0000, 0.5000, 0.0000)  2 Sr 2.65
Zr (0.5000, 0.0000, 0.0000)  2 Sr 2.65
Zn (0.0000, 0.0000, 0.5000)  2 Sr 2.60
Hg (0.5000, 0.5000, 0.5000)  8 Zr 3.72, 4 Zn 3.75

## Properties
For the formation enthalpy at 0 K, the calculation gives 1.6207 eV/atom. For the energy above the most stable polymorph in this dataset, the calculation gives 0.912 eV per atom. As for the space group: No. 123.